Entry 1:
This record from the Alexandria database describes an optimized crystal structure of SrLiTlPd. The functional is PBE.

Values from the calculation:
Polymorph energy (0 for the lowest one)   0 meV per atom
Energy of formation   -0.41 eV/atom
Space-group type   Cm
E_tot   -12.79 eV for the cell shown

abc: 4.798 4.798 5.836
angles: 114.73 114.73 60.15
Positions (direct):
Sr 0.000 0.000 0.000
Li 0.804 0.804 0.412
Tl 0.513 0.513 0.541
Pd 0.201 0.201 0.604

***

Entry 2:
This record from the Alexandria database describes an optimized crystal structure of Tb5Y3As8. The functional is PBE.

Values from the calculation:
Energy of formation   -1.55 eV/atom
Space-group type   R-3m
E_tot   -104.50 eV for the cell shown

abc: 8.265 8.265 8.265
angles: 60.00 60.00 60.00
Positions (direct):
Tb 0.000 0.000 0.000
Tb 0.000 0.500 0.500
Tb 0.500 0.000 0.500
Tb 0.500 0.500 0.000
Tb 0.500 0.500 0.500
Y 0.000 0.000 0.500
Y 0.000 0.500 0.000
Y 0.500 0.000 0.000
As 0.250 0.250 0.250
As 0.250 0.250 0.750
As 0.250 0.750 0.250
As 0.250 0.750 0.750
As 0.750 0.250 0.250
As 0.750 0.250 0.750
As 0.750 0.750 0.250
As 0.750 0.750 0.750

***

Entry 3:
This record from the Alexandria database describes an optimized crystal structure of MnVSb2. The functional is PBE.

Values from the calculation:
Polymorph energy (0 for the lowest one)   0 meV per atom
Space-group type   Fm-3m
E_tot   -25.52 eV for the cell shown

abc: 4.717 4.717 4.717
angles: 60.00 60.00 60.00
Positions (direct):
Mn 0.000 0.000 0.000
V 0.500 0.500 0.500
Sb 0.250 0.250 0.250
Sb 0.750 0.750 0.750

***

Entry 4:
This record from the Alexandria database describes an optimized crystal structure of HoAg2Sn3Te6. The functional is PBE.

Values from the calculation:
Space-group type   C2/m
E_tot   -46.07 eV for the cell shown

abc: 7.608 7.608 7.673
angles: 99.52 99.52 120.08
Positions (direct):
Ho 0.000 0.000 0.000
Ag 0.328 0.672 0.000
Ag 0.672 0.328 0.000
Sn 0.159 0.841 0.500
Sn 0.500 0.500 0.500
Sn 0.841 0.159 0.500
Te 0.080 0.414 0.238
Te 0.256 0.256 0.762
Te 0.414 0.080 0.238
Te 0.586 0.920 0.762
Te 0.744 0.744 0.238
Te 0.920 0.586 0.762

***

Entry 5:
This record from the Alexandria database describes an optimized crystal structure of PmHo2Er5. The functional is PBE.

Values from the calculation:
Polymorph energy (0 for the lowest one)   127 meV per atom
Energy of formation   0.15 eV/atom
Space-group type   C2/m
E_tot   -71.11 eV for the cell shown

abc: 8.562 8.562 11.373
angles: 90.05 90.05 38.17
Positions (direct):
Pm 0.227 0.227 0.250
Pm 0.773 0.773 0.750
Ho 0.212 0.212 0.580
Ho 0.213 0.213 0.919
Ho 0.787 0.787 0.081
Ho 0.788 0.788 0.420
Er 0.043 0.043 0.387
Er 0.044 0.044 0.112
Er 0.396 0.396 0.750
Er 0.413 0.413 0.078
Er 0.413 0.413 0.423
Er 0.587 0.587 0.577
Er 0.587 0.587 0.922
Er 0.604 0.604 0.250
Er 0.956 0.956 0.888
Er 0.957 0.957 0.613

***

Entry 6:
This record from the Alexandria database describes an optimized crystal structure of Tb5HoZn4. The functional is PBE.

Values from the calculation:
Energy of formation   -0.27 eV/atom
Space-group type   P4/mmm
E_tot   -35.48 eV for the cell shown

abc: 3.578 3.578 19.346
angles: 90.00 90.00 90.00
Positions (direct):
Tb 0.000 0.000 0.000
Tb 0.000 0.000 0.184
Tb 0.000 0.000 0.369
Tb 0.000 0.000 0.631
Tb 0.000 0.000 0.816
Ho 0.500 0.500 0.500
Zn 0.500 0.500 0.093
Zn 0.500 0.500 0.277
Zn 0.500 0.500 0.723
Zn 0.500 0.500 0.907

***

Entry 7:
This record from the Alexandria database describes an optimized crystal structure of GeRuIO2. The functional is PBE.

Values from the calculation:
Polymorph energy (0 for the lowest one)   122 meV per atom
Space-group type   P4/mmm
E_tot   -24.72 eV for the cell shown

abc: 3.737 3.737 6.474
angles: 90.00 90.00 90.00
Positions (direct):
Ge 0.000 0.000 0.000
Ru 0.500 0.500 0.500
I 0.000 0.000 0.500
O 0.000 0.500 0.000
O 0.500 0.000 0.000

***

Entry 8:
This record from the Alexandria database describes an optimized crystal structure of Tb8YEr6. The functional is PBE.

Values from the calculation:
Polymorph energy (0 for the lowest one)   40 meV per atom
Energy of formation   0.17 eV/atom
Space-group type   P-3
E_tot   -68.29 eV for the cell shown

abc: 9.785 9.785 5.782
angles: 90.00 90.00 120.00
Positions (direct):
Tb 0.091 0.466 0.266
Tb 0.333 0.667 0.777
Tb 0.375 0.909 0.266
Tb 0.466 0.375 0.734
Tb 0.534 0.625 0.266
Tb 0.625 0.091 0.734
Tb 0.667 0.333 0.223
Tb 0.909 0.534 0.734
Y 0.000 0.000 0.500
Er 0.050 0.274 0.780
Er 0.225 0.950 0.780
Er 0.274 0.225 0.220
Er 0.726 0.775 0.780
Er 0.775 0.050 0.220
Er 0.950 0.726 0.220